[1]
Compound: TlAs4
Source: the Alexandria database
Functional: PBE
Structure: optimized geometry

abc: 5.9017 5.9017 5.9017
angles: 98.21 98.21 135.58
With the nearest neighbours (Å) after each atom.
Fractional positions:
Tl: 0.0000 0.0000 0.0000  12 As 3.40-3.64
As: 0.1362 0.4181 0.5543  1 As 2.46
As: 0.4181 0.8638 0.2820  1 As 2.46
As: 0.5819 0.1362 0.7180  1 As 2.46
As: 0.8638 0.5819 0.4457  1 As 2.46

Properties
D(E_F) in states/eV/cell: 2.022

[2]
Compound: Tl3As
Source: the Alexandria database
Functional: PBE
Structure: optimized geometry

abc: 8.1613 8.1613 3.6523
angles: 90.00 90.00 88.34
With the nearest neighbours (Å) after each atom.
Fractional positions:
Tl: 0.1192 0.3746 0.7500  1 As 3.03, 2 Tl 3.33
Tl: 0.1392 0.8608 0.7500  1 As 3.27, 8 Tl 3.42-3.65
Tl: 0.3746 0.1192 0.2500  1 As 3.03, 2 Tl 3.33
Tl: 0.6254 0.8808 0.7500  1 As 3.03, 2 Tl 3.33
Tl: 0.8608 0.1392 0.2500  1 As 3.27, 8 Tl 3.42-3.65
Tl: 0.8808 0.6254 0.2500  1 As 3.03, 2 Tl 3.33
As: 0.4265 0.5735 0.7500  2 As 2.48
As: 0.5735 0.4265 0.2500  2 As 2.48

Properties
D(E_F) in states/eV/cell: 3.099

[3]
Compound: Tl3As
Source: the Alexandria database
Functional: PBE
Structure: optimized geometry

abc: 3.5620 4.1078 7.7684
angles: 90.00 90.11 90.00
With the nearest neighbours (Å) after each atom.
Fractional positions:
Tl: 0.0000 0.0000 0.0000  10 Tl 3.49-3.56, 2 As 3.88
Tl: 0.4986 0.5000 0.7172  4 As 3.20, 7 Tl 3.38-3.56
Tl: 0.5014 0.5000 0.2828  4 As 3.20, 7 Tl 3.38-3.56
As: 0.0000 0.0000 0.5000  8 Tl 3.20, 2 As 3.56

Properties
D(E_F) in states/eV/cell: 1.576

[4]
Compound: Tl6As
Source: the Alexandria database
Functional: PBE
Structure: optimized geometry

abc: 7.4550 7.4550 7.4550
angles: 109.47 109.47 109.47
With the nearest neighbours (Å) after each atom.
Fractional positions:
Tl: 0.2500 0.5000 0.7500  4 Tl 3.04
Tl: 0.2500 0.7500 0.5000  4 Tl 3.04
Tl: 0.5000 0.2500 0.7500  4 Tl 3.04
Tl: 0.5000 0.7500 0.2500  4 Tl 3.04
Tl: 0.7500 0.2500 0.5000  4 Tl 3.04
Tl: 0.7500 0.5000 0.2500  4 Tl 3.04
As: 0.0000 0.0000 0.0000  24 Tl 4.81

Properties
D(E_F) in states/eV/cell: 5.375

Computed ρ, in the same sequence as the records: 6.3; 9.4; 10.1; 6.8 g cm⁻³.
Computed energy of formation from the pure elements, in the same sequence as the records: 0.269; 0.047; 0.068; 0.678 eV per atom.